VASP calculation (PBEsol) on KSnAsO5 after structural relaxation.

a b c (Å): 13.513 6.729 11.026
angles (deg): 90.00 90.00 90.00
Space group Pna2_1 (No. 33)
Inequivalent atoms, fractional coordinates:
K 0.113 0.190 0.000
K 0.131 0.774 0.737
Sn 0.125 0.500 0.441
Sn 0.250 0.254 0.693
As 0.002 0.667 0.190
As 0.177 0.003 0.444
O 0.009 0.496 0.571
O 0.009 0.517 0.316
O 0.097 0.180 0.712
O 0.099 0.808 0.471
O 0.100 0.824 0.170
O 0.101 0.197 0.416
O 0.223 0.477 0.578
O 0.233 0.544 0.320
O 0.239 0.470 0.829
O 0.246 0.522 0.068

- Total moment: 0.00 μB per cell
- DFT total energy: -6.20 eV/atom
- Formation energy without anion corrections: -1.61 eV per atom